Model A:
A relaxed structure of Th4Ga2C, computed with PBE-GGA.

## Properties
Its symmetry is I4/mmm (139). As for the size of the total moment: 0.000 μB/cell.

```
Th4Ga2C
1.0
4.9579 0.0000 0.0000
0.0000 4.9579 0.0000
0.0000 0.0000 15.4221
Th Ga C
8 4 2
direct
0.0000 0.0000 0.1669
0.0000 0.0000 0.8331
0.0000 0.5000 0.0000
0.0000 0.5000 0.5000
0.5000 0.0000 0.0000
0.5000 0.0000 0.5000
0.5000 0.5000 0.3331
0.5000 0.5000 0.6669
0.0000 0.0000 0.3657
0.0000 0.0000 0.6343
0.5000 0.5000 0.1343
0.5000 0.5000 0.8657
0.0000 0.0000 0.0000
0.5000 0.5000 0.5000
```

Model B:
A relaxed structure of Th4Ga2C, computed with PBE-GGA.

## Properties
Its symmetry is P2_1/m (11). As for the size of the total moment: 0.000 μB/cell.

```
Th4Ga2C
1.0
6.6421 0.0000 0.0000
0.0000 6.6102 0.0000
-3.1636 0.0000 8.5491
Th Ga C
8 4 2
direct
0.0104 0.0126 0.2675
0.0104 0.4874 0.2675
0.4114 0.2500 0.0837
0.4377 0.2500 0.6347
0.5623 0.7500 0.3653
0.5886 0.7500 0.9163
0.9896 0.5126 0.7325
0.9896 0.9874 0.7325
0.1914 0.7500 0.0439
0.2667 0.7500 0.5678
0.7333 0.2500 0.4322
0.8086 0.2500 0.9561
0.2485 0.2500 0.8117
0.7515 0.7500 0.1883
```

Which structure loses on stability? model B does.

Model A:
A relaxed structure of Ti4Ga2C, computed with PBE-GGA.

## Properties
Its symmetry is P2/m (10). As for the size of the total moment: 0.000 μB/cell.

```
Ti4Ga2C
1.0
5.2199 0.0000 0.0000
0.0000 3.0583 0.0000
-2.1114 0.0000 6.8205
Ti Ga C
4 2 1
direct
0.1232 0.0000 0.2882
0.3559 0.5000 0.6423
0.6441 0.5000 0.3577
0.8768 0.0000 0.7118
0.2515 0.5000 0.9980
0.7485 0.5000 0.0020
0.5000 0.0000 0.5000
```

Model B:
A relaxed structure of Ti4Ga2C, computed with PBE-GGA.

## Properties
Its symmetry is Fd-3m (227). As for the size of the total moment: 0.000 μB/cell.

```
Ti4Ga2C
1.0
0.0000 5.8900 5.8900
5.8900 0.0000 5.8900
5.8900 5.8900 0.0000
Ti Ga C
16 8 4
direct
0.0000 0.0000 0.0000
0.0000 0.0000 0.5000
0.0000 0.5000 0.0000
0.1887 0.1887 0.5613
0.1887 0.5613 0.1887
0.1887 0.5613 0.5613
0.4387 0.4387 0.8113
0.4387 0.8113 0.4387
0.4387 0.8113 0.8113
0.5000 0.0000 0.0000
0.5613 0.1887 0.1887
0.5613 0.1887 0.5613
0.5613 0.5613 0.1887
0.8113 0.4387 0.4387
0.8113 0.4387 0.8113
0.8113 0.8113 0.4387
0.1554 0.7815 0.7815
0.2185 0.2185 0.2185
0.2185 0.2185 0.8446
0.2185 0.8446 0.2185
0.7815 0.1554 0.7815
0.7815 0.7815 0.1554
0.7815 0.7815 0.7815
0.8446 0.2185 0.2185
0.0000 0.5000 0.5000
0.5000 0.0000 0.5000
0.5000 0.5000 0.0000
0.5000 0.5000 0.5000
```

Which structure loses on stability? model A does.